(1)
Below is a geometry-optimized BaLa2GePt structure, with properties calculated at the PBE level.

Cell lengths 5.902, 5.902, 4.770 Å; angles 90.00, 90.00, 90.00 degrees
Space group P4/mmm (No. 123)
Asymmetric unit:
1 Ba 0.000 0.000 0.000 x1
2 La 0.000 0.500 0.500 x2
3 Ge 0.500 0.500 0.500 x1
4 Pt 0.500 0.500 0.000 x1

The formation energy is -0.18 eV/atom. The value obtained for the energy is -4.667 eV/atom. The total magnetic moment comes out at 0.0 Bohr magnetons per cell.

---

(2)
Below is a geometry-optimized LiSiC2 structure, with properties calculated at the PBE level.

Cell lengths 4.016, 4.016, 5.461 Å; angles 90.00, 90.00, 90.00 degrees
Space group P4_2/mmc (No. 131)
Asymmetric unit:
1 Li 0.000 0.000 0.250 x2
2 Si 0.500 0.500 0.250 x2
3 C 0.176 0.500 0.000 x4

The value obtained for the energy is -6.346 eV/atom. The total magnetic moment comes out at 0.0 Bohr magnetons per cell.

---

(3)
Below is a geometry-optimized NiBiPb structure, with properties calculated at the PBE level.

Cell lengths 3.327, 3.327, 13.189 Å; angles 90.00, 90.00, 90.00 degrees
Space group I4mm (No. 107)
Asymmetric unit:
1 Ni 0.000 0.000 0.000 x2
2 Bi 0.000 0.000 0.616 x2
3 Pb 0.000 0.000 0.363 x2

The formation energy is 0.07 eV/atom. The value obtained for the energy is -4.385 eV/atom. The total magnetic moment comes out at 0.0 Bohr magnetons per cell.

---

(4)
Below is a geometry-optimized TaBeCd2 structure, with properties calculated at the PBE level.

Cell lengths 4.221, 4.221, 7.882 Å; angles 90.00, 90.00, 90.00 degrees
Space group I-4m2 (No. 119)
Asymmetric unit:
1 Ta 0.000 0.000 0.000 x2
2 Be 0.000 0.500 0.750 x2
3 Cd 0.000 0.000 0.500 x2
4 Cd 0.000 0.500 0.250 x2

The formation energy is 0.66 eV/atom. The value obtained for the energy is -3.696 eV/atom. The total magnetic moment comes out at 0.0 Bohr magnetons per cell.

---

(5)
Below is a geometry-optimized Pa3Re2Si3 structure, with properties calculated at the PBE level.

Cell lengths 7.9315, 7.9315, 5.3390 Å; angles 90.00, 90.00, 120.00 degrees
Space group P6_3/mcm (No. 193)
Asymmetric unit:
1 Pa 0.0000 0.2402 0.2500 x6
2 Re 0.3333 0.6667 0.0000 x4
3 Si 0.0000 0.4115 0.7500 x6

The value obtained for the energy is -8.968 eV/atom. The total magnetic moment comes out at 0.0 Bohr magnetons per cell.

---

(6)
Below is a geometry-optimized RbScAgTe2 structure, with properties calculated at the PBE level.

Cell lengths 6.666, 16.070, 6.392 Å; angles 90.00, 90.00, 90.00 degrees
Space group Cmme (No. 67)
Asymmetric unit:
1 Rb 0.000 0.250 0.222 x4
2 Sc 0.250 0.000 0.500 x4
3 Ag 0.000 0.000 0.000 x4
4 Te 0.000 0.121 0.712 x8

The value obtained for the energy is -4.036 eV/atom. The total magnetic moment comes out at 3.8 Bohr magnetons per cell.

---

(7)
Below is a geometry-optimized Rb2LiWCl6 structure, with properties calculated at the PBE level.

Cell lengths 7.564, 7.564, 9.094 Å; angles 90.00, 90.00, 90.00 degrees
Space group I4/mmm (No. 139)
Asymmetric unit:
1 Rb 0.000 0.500 0.250 x4
2 Li 0.000 0.000 0.000 x2
3 W 0.000 0.000 0.500 x2
4 Cl 0.000 0.000 0.238 x4
5 Cl 0.231 0.231 0.500 x8

The value obtained for the energy is -4.157 eV/atom. The total magnetic moment comes out at 6.0 Bohr magnetons per cell. For the energy relative to the lowest polymorph listed for this composition, the calculation gives 47.8 meV per atom.

---

(8)
Below is a geometry-optimized Ce6PmOs4 structure, with properties calculated at the PBE level.

Cell lengths 7.349, 7.349, 10.428 Å; angles 90.00, 90.00, 90.00 degrees
Space group I-42m (No. 121)
Asymmetric unit:
1 Ce 0.000 0.500 0.000 x4
2 Ce 0.169 0.169 0.292 x8
3 Pm 0.000 0.000 0.000 x2
4 Os 0.196 0.196 0.567 x8

The formation energy is -0.07 eV/atom. The value obtained for the energy is -7.818 eV/atom. The total magnetic moment comes out at 0.0 Bohr magnetons per cell.

---

(9)
Below is a geometry-optimized AcGaHgAu structure, with properties calculated at the PBE level.

Cell lengths 7.432, 7.432, 7.432 Å; angles 90.00, 90.00, 90.00 degrees
Space group F-43m (No. 216)
Asymmetric unit:
1 Ac 0.000 0.000 0.000 x4
2 Ga 0.000 0.000 0.500 x4
3 Hg 0.250 0.250 0.250 x4
4 Au 0.250 0.250 0.750 x4

The formation energy is -0.48 eV/atom. The value obtained for the energy is -3.156 eV/atom. The total magnetic moment comes out at 0.0 Bohr magnetons per cell.

---

(10)
Below is a geometry-optimized Sc2Al2Cu structure, with properties calculated at the PBE level.

Cell lengths 4.049, 4.049, 12.946 Å; angles 90.00, 90.00, 90.00 degrees
Space group I4/mmm (No. 139)
Asymmetric unit:
1 Sc 0.000 0.500 0.250 x4
2 Al 0.000 0.000 0.093 x4
3 Cu 0.000 0.000 0.500 x2

The formation energy is 0.38 eV/atom. The value obtained for the energy is -4.469 eV/atom. The total magnetic moment comes out at 1.6 Bohr magnetons per cell. For the energy relative to the lowest polymorph listed for this composition, the calculation gives 740.7 meV per atom.

---

(11)
Below is a geometry-optimized Ho6InIr structure, with properties calculated at the PBE level.

Cell lengths 8.036, 10.045, 6.388 Å; angles 90.00, 105.89, 90.00 degrees
Space group C2/m (No. 12)
Asymmetric unit:
1 Ho 0.103 0.194 0.291 x8
2 Ho 0.215 0.500 0.135 x4
3 In 0.000 0.500 0.500 x2
4 Ir 0.000 0.000 0.000 x2

The formation energy is -0.18 eV/atom. The value obtained for the energy is -5.059 eV/atom. The total magnetic moment comes out at 0.0 Bohr magnetons per cell.

---

(12)
Below is a geometry-optimized UPaPt4 structure, with properties calculated at the PBE level.

Cell lengths 7.694, 7.694, 7.694 Å; angles 90.00, 90.00, 90.00 degrees
Space group F-43m (No. 216)
Asymmetric unit:
1 U 0.000 0.000 0.000 x4
2 Pa 0.250 0.250 0.750 x4
3 Pt 0.125 0.125 0.375 x16

The formation energy is -0.75 eV/atom. The value obtained for the energy is -8.240 eV/atom. The total magnetic moment comes out at 13.2 Bohr magnetons per cell.

---

(13)
Below is a geometry-optimized CaLaSnAu structure, with properties calculated at the PBE level.

Cell lengths 7.649, 7.649, 7.649 Å; angles 90.00, 90.00, 90.00 degrees
Space group F-43m (No. 216)
Asymmetric unit:
1 Ca 0.000 0.000 0.000 x4
2 La 0.000 0.000 0.500 x4
3 Sn 0.250 0.250 0.250 x4
4 Au 0.250 0.250 0.750 x4

The formation energy is -0.79 eV/atom. The value obtained for the energy is -4.340 eV/atom. The total magnetic moment comes out at 0.0 Bohr magnetons per cell.

---

(14)
Below is a geometry-optimized Tl2AgPt2 structure, with properties calculated at the PBE level.

Cell lengths 7.290, 7.290, 3.843 Å; angles 90.00, 90.00, 90.00 degrees
Space group P4/mbm (No. 127)
Asymmetric unit:
1 Tl 0.167 0.333 0.000 x4
2 Ag 0.000 0.000 0.500 x2
3 Pt 0.136 0.636 0.500 x4

The formation energy is 0.02 eV/atom. The value obtained for the energy is -3.916 eV/atom. The total magnetic moment comes out at 0.0 Bohr magnetons per cell. For the energy relative to the lowest polymorph listed for this composition, the calculation gives 0.0 meV per atom.

---

(15)
Below is a geometry-optimized Pm5IrRu2 structure, with properties calculated at the PBE level.

Cell lengths 7.482, 7.482, 14.381 Å; angles 90.00, 90.00, 90.00 degrees
Space group I4/mcm (No. 140)
Asymmetric unit:
1 Pm 0.000 0.000 0.000 x4
2 Pm 0.177 0.323 0.143 x16
3 Ir 0.000 0.000 0.250 x4
4 Ru 0.121 0.379 0.500 x8

The formation energy is -0.35 eV/atom. The value obtained for the energy is -6.741 eV/atom. The total magnetic moment comes out at 0.0 Bohr magnetons per cell.

---

(16)
Below is a geometry-optimized Ba8PdSe3I4 structure, with properties calculated at the PBE level.

Cell lengths 9.5880, 9.5880, 24.7376 Å; angles 90.00, 90.00, 120.00 degrees
Space group R-3m (No. 166, hexagonal axes)
Asymmetric unit:
1 Ba 0.0000 0.0000 0.2377 x6
2 Ba 0.0066 0.5033 0.2367 x18
3 Pd 0.0000 0.0000 0.5000 x3
4 Se 0.0000 0.5000 0.5000 x9
5 I 0.0000 0.0000 0.0000 x3
6 I 0.0000 0.5000 0.0000 x9

The value obtained for the energy is -3.838 eV/atom. The total magnetic moment comes out at 5.5 Bohr magnetons per cell.

---

(17)
Below is a geometry-optimized LiCuAg structure, with properties calculated at the PBE level.

Cell lengths 2.792, 3.830, 8.255 Å; angles 90.00, 90.00, 90.00 degrees
Space group Imm2 (No. 44)
Asymmetric unit:
1 Li 0.000 0.000 0.000 x2
2 Cu 0.000 0.000 0.339 x2
3 Ag 0.000 0.000 0.672 x2

The formation energy is -0.05 eV/atom. The value obtained for the energy is -3.005 eV/atom. The total magnetic moment comes out at 0.0 Bohr magnetons per cell. For the energy relative to the lowest polymorph listed for this composition, the calculation gives 29.1 meV per atom.

---

(18)
Below is a geometry-optimized Ta2CoReOs structure, with properties calculated at the PBE level.

Cell lengths 4.796, 4.796, 4.309 Å; angles 90.00, 90.00, 90.00 degrees
Space group P4/mmm (No. 123)
Asymmetric unit:
1 Ta 0.000 0.500 0.000 x2
2 Co 0.000 0.000 0.500 x1
3 Re 0.000 0.000 0.000 x1
4 Os 0.500 0.500 0.500 x1

The formation energy is 1.76 eV/atom. The value obtained for the energy is -9.137 eV/atom. The total magnetic moment comes out at 1.5 Bohr magnetons per cell.

---

(19)
Below is a geometry-optimized TcTeIO2 structure, with properties calculated at the PBE level.

Cell lengths 4.013, 4.013, 6.011 Å; angles 90.00, 90.00, 90.00 degrees
Space group P4/mmm (No. 123)
Asymmetric unit:
1 Tc 0.000 0.000 0.000 x1
2 Te 0.500 0.500 0.500 x1
3 I 0.000 0.000 0.500 x1
4 O 0.000 0.500 0.000 x2

The value obtained for the energy is -5.161 eV/atom. The total magnetic moment comes out at 0.0 Bohr magnetons per cell. For the energy relative to the lowest polymorph listed for this composition, the calculation gives 0.0 meV per atom.

---

(20)
Below is a geometry-optimized TiCu2Sn structure, with properties calculated at the PBE level.

Cell lengths 3.876, 3.876, 18.686 Å; angles 90.00, 90.00, 90.00 degrees
Space group I-42d (No. 122)
Asymmetric unit:
1 Ti 0.000 0.000 0.000 x4
2 Cu 0.240 0.250 0.125 x8
3 Sn 0.000 0.000 0.500 x4

The formation energy is 0.22 eV/atom. The value obtained for the energy is -4.805 eV/atom. The total magnetic moment comes out at 0.0 Bohr magnetons per cell.

---

(21)
Below is a geometry-optimized Pm3Y6Sc structure, with properties calculated at the PBE level.

Cell lengths 9.8821, 9.8821, 11.5539 Å; angles 90.00, 90.00, 120.00 degrees
Space group R3 (No. 146, hexagonal axes)
Asymmetric unit:
1 Pm 0.0000 0.0000 0.0000 x3
2 Pm 0.0000 0.0000 0.2529 x3
3 Pm 0.0000 0.0000 0.5076 x3
4 Y 0.0030 0.3405 0.3391 x9
5 Y 0.0076 0.6713 0.5039 x9
6 Sc 0.0000 0.0000 0.7534 x3

The formation energy is 0.23 eV/atom. The value obtained for the energy is -5.711 eV/atom. The total magnetic moment comes out at 0.0 Bohr magnetons per cell. For the energy relative to the lowest polymorph listed for this composition, the calculation gives 83.9 meV per atom.

---

(22)
Below is a geometry-optimized SrYTl3 structure, with properties calculated at the PBE level.

Cell lengths 5.858, 5.858, 5.858 Å; angles 90.00, 90.00, 90.00 degrees
Space group Pm-3m (No. 221)
Asymmetric unit:
1 Sr 0.000 0.000 0.000 x1
2 Y 0.500 0.500 0.500 x1
3 Tl 0.000 0.500 0.500 x3

The formation energy is 0.10 eV/atom. The value obtained for the energy is -2.950 eV/atom. The total magnetic moment comes out at 0.4 Bohr magnetons per cell. For the energy relative to the lowest polymorph listed for this composition, the calculation gives 0.0 meV per atom.

---

(23)
Below is a geometry-optimized V3Se2S structure, with properties calculated at the PBE level.

Cell lengths 3.909, 11.979, 5.555 Å; angles 90.00, 90.00, 90.00 degrees
Space group Imm2 (No. 44)
Asymmetric unit:
1 V 0.000 0.000 0.000 x2
2 V 0.000 0.331 0.934 x4
3 Se 0.000 0.155 0.703 x4
4 S 0.000 0.500 0.726 x2

The value obtained for the energy is -6.798 eV/atom. The total magnetic moment comes out at 15.1 Bohr magnetons per cell.

---

(24)
Below is a geometry-optimized BC2 structure, with properties calculated at the PBE level.

Cell lengths 8.742, 2.518, 7.831 Å; angles 90.00, 117.05, 90.00 degrees
Space group Cm (No. 8)
Asymmetric unit:
1 B 0.000 0.000 0.000 x2
2 B 0.012 0.500 0.343 x2
3 B 0.032 0.500 0.865 x2
4 B 0.329 0.000 0.624 x2
5 C 0.011 0.000 0.493 x2
6 C 0.175 0.500 0.801 x2
7 C 0.179 0.000 0.691 x2
8 C 0.183 0.000 0.200 x2
9 C 0.183 0.500 0.312 x2
10 C 0.329 0.500 0.029 x2
11 C 0.331 0.000 0.143 x2
12 C 0.351 0.500 0.512 x2

The formation energy is 0.36 eV/atom. The value obtained for the energy is -8.011 eV/atom. The total magnetic moment comes out at 0.0 Bohr magnetons per cell. For the energy relative to the lowest polymorph listed for this composition, the calculation gives 124.5 meV per atom.

---

(25)
Below is a geometry-optimized CeDy2 structure, with properties calculated at the PBE level.

Cell lengths 3.519, 3.519, 14.913 Å; angles 90.00, 90.00, 90.00 degrees
Space group I4/mmm (No. 139)
Asymmetric unit:
1 Ce 0.000 0.000 0.000 x2
2 Dy 0.000 0.000 0.337 x4

The formation energy is 0.07 eV/atom. The value obtained for the energy is -4.973 eV/atom. The total magnetic moment comes out at 1.2 Bohr magnetons per cell. For the energy relative to the lowest polymorph listed for this composition, the calculation gives 0.0 meV per atom.